a:
Crystalline SmEu2Sc at its relaxed geometry, computed with PBE.

```
4
Lattice="5.090 0.000 0.000 0.000 5.090 0.000 0.000 0.000 5.209" Properties=species:S:1:pos:R:3 pbc="T T T"
Sm 0.000 0.000 0.000
Eu 0.000 2.545 2.604
Eu 2.545 0.000 2.604
Sc 2.545 2.545 0.000
```

Results
Spin magnetization (Bohr magnetons per cell): 15.209
Density of states at the Fermi level (states/eV per cell): 6.2

b:
Crystalline SmEu2Sc at its relaxed geometry, computed with PBE.

```
4
Lattice="3.596 0.000 0.000 0.000 3.596 0.000 0.000 0.000 10.441" Properties=species:S:1:pos:R:3 pbc="T T T"
Sm 0.000 0.000 0.000
Eu 1.798 1.798 2.754
Eu 1.798 1.798 7.688
Sc 0.000 0.000 5.221
```

Results
Spin magnetization (Bohr magnetons per cell): 15.300
Density of states at the Fermi level (states/eV per cell): 4.8

c:
Crystalline SmEu2Sc at its relaxed geometry, computed with PBE.

```
4
Lattice="0.000 4.070 4.070 4.070 0.000 4.070 4.070 4.070 0.000" Properties=species:S:1:pos:R:3 pbc="T T T"
Sm 0.000 0.000 0.000
Eu 2.035 2.035 2.035
Eu 6.105 6.105 6.105
Sc 4.070 4.070 4.070
```

Results
Spin magnetization (Bohr magnetons per cell): 14.328
Density of states at the Fermi level (states/eV per cell): 5.1

Going by the energies, b is most stable and the next is 9 meV per atom up.